# Ce2PuRu2 | Alexandria | PBE | relaxed
# VASP energy   -9.219 eV per atom
# Energy above the lowest structure with this stoichiometry   0.0 meV/atom
data_Ce2PuRu2
_chemical_formula_sum 'Ce8 Pu4 Ru8'
_cell_length_a 10.251
_cell_length_b 5.733
_cell_length_c 7.655
_cell_angle_alpha 90.00
_cell_angle_beta 100.92
_cell_angle_gamma 90.00
_symmetry_space_group_name_H-M 'C 1 2/c 1'
_symmetry_Int_Tables_number 15
_symmetry_space_group_name_Hall '-C 2yc'
loop_
_atom_site_label
_atom_site_fract_x
_atom_site_fract_y
_atom_site_fract_z
_atom_site_occupancy
Ce1 0.150 0.138 0.157 1
Pu1 0.000 0.320 0.750 1
Ru1 0.131 0.373 0.501 1